# Ca3Sc3CuTe8 (PBE, relaxed)
data_Ca3Sc3CuTe8
_cell_length_a 14.726
_cell_length_b 8.506
_cell_length_c 8.703
_cell_angle_alpha 90.00
_cell_angle_beta 124.32
_cell_angle_gamma 90.00
_space_group_name_H-M_alt 'C 1 2/m 1'
_space_group_IT_number 12
_space_group_name_Hall '-C 2y'
loop_
_atom_site_label
_atom_site_type_symbol
_atom_site_fract_x
_atom_site_fract_y
_atom_site_fract_z
Ca1 Ca 0.000 0.000 0.000
Ca2 Ca 0.250 0.250 0.000
Sc1 Sc 0.000 0.500 0.500
Sc2 Sc 0.250 0.250 0.500
Cu1 Cu 0.000 0.000 0.500
Te1 Te 0.009 0.249 0.278
Te2 Te 0.239 0.000 0.722
Te3 Te 0.244 0.500 0.731
# Total magnetization ... 0.0 Bohr magnetons per cell
# Uncorrected formation energy ... -17.22 eV/f.u.